Entry from Alexandria via LeMat-Bulk: a relaxed KTcNiO2 crystal (PBE with a Hubbard U).

Calculated values
- E_tot: -15.7 eV for the cell shown
- Symmetry: No. 123

a b c (Å): 4.552 4.552 4.555
angles (deg): 90.00 90.00 90.00
Positions (direct):
K  0.000  0.000  0.000
Tc  0.500  0.500  0.500
Ni  0.000  0.000  0.500
O  0.000  0.500  0.000
O  0.500  0.000  0.000